Record 1
VASP calculation (PBE-GGA) on LiTb4Bi2 after structural relaxation.

Structure (CIF):
```
data_LiTb4Bi2
_space_group_name_H-M_alt 'P 1 21/m 1'
_space_group_IT_number 11
_cell_length_a 7.312
_cell_length_b 6.339
_cell_length_c 9.186
_cell_angle_alpha 90.00
_cell_angle_beta 108.84
_cell_angle_gamma 90.00
loop_
_space_group_symop_operation_xyz
'x,y,z'
'-x,-y,-z'
'-x,y+1/2,-z'
'x,-y+1/2,z'
loop_
_atom_site_label
_atom_site_type_symbol
_atom_site_fract_x
_atom_site_fract_y
_atom_site_fract_z
Li1 Li 0.176 0.250 0.168
Tb1 Tb 0.065 0.250 0.837
Tb2 Tb 0.091 0.250 0.455
Tb3 Tb 0.471 0.000 0.779
Bi1 Bi 0.203 0.750 0.936
Bi2 Bi 0.307 0.750 0.449
```

Calculated values
**Raw total energy**: -30.564 eV/f.u.
**Density of states at the Fermi level**: 12.91 states/eV per cell
**Total moment**: 0.00 μB per cell



Record 2
VASP calculation (PBE-GGA) on LiTb3Bi3 after structural relaxation.

Structure (CIF):
```
data_LiTb3Bi3
_space_group_name_H-M_alt 'R -3'
_space_group_IT_number 148
_space_group_name_Hall '-R 3'
_cell_length_a 9.1408
_cell_length_b 9.1408
_cell_length_c 18.7869
_cell_angle_alpha 90.00
_cell_angle_beta 90.00
_cell_angle_gamma 120.00
loop_
_atom_site_label
_atom_site_type_symbol
_atom_site_fract_x
_atom_site_fract_y
_atom_site_fract_z
Li1 Li 0.0000 0.0000 0.1744
Tb1 Tb 0.0094 0.7298 0.5831
Bi1 Bi 0.0132 0.6258 0.4178
```

Calculated values
**Raw total energy**: -31.805 eV/f.u.
**Density of states at the Fermi level**: 16.97 states/eV per cell
**Total moment**: 0.00 μB per cell



Record 3
VASP calculation (PBE-GGA) on LiTbTlBi after structural relaxation.

Structure (CIF):
```
data_LiTbTlBi
_space_group_name_H-M_alt 'F -4 3 m'
_space_group_IT_number 216
_space_group_name_Hall 'F -4 2 3'
_cell_length_a 7.535
_cell_length_b 7.535
_cell_length_c 7.535
_cell_angle_alpha 90.00
_cell_angle_beta 90.00
_cell_angle_gamma 90.00
loop_
_atom_site_label
_atom_site_type_symbol
_atom_site_fract_x
_atom_site_fract_y
_atom_site_fract_z
Li1 Li 0.000 0.000 0.000
Tb1 Tb 0.000 0.000 0.500
Tl1 Tl 0.250 0.250 0.750
Bi1 Bi 0.250 0.250 0.250
```

Calculated values
**Raw total energy**: -14.192 eV/f.u.
**Density of states at the Fermi level**: 9.46 states/eV per cell
**Total moment**: 0.00 μB per cell



Record 4
VASP calculation (PBE-GGA) on Li2TbTm2Bi2 after structural relaxation.

Structure (CIF):
```
data_Li2TbTm2Bi2
_space_group_name_H-M_alt 'R -3 m'
_space_group_IT_number 166
_space_group_name_Hall '-R 3 2"'
_cell_length_a 4.8756
_cell_length_b 4.8756
_cell_length_c 26.2265
_cell_angle_alpha 90.00
_cell_angle_beta 90.00
_cell_angle_gamma 120.00
loop_
_atom_site_label
_atom_site_type_symbol
_atom_site_fract_x
_atom_site_fract_y
_atom_site_fract_z
Li1 Li 0.0000 0.0000 0.0857
Tb1 Tb 0.0000 0.0000 0.5000
Tm1 Tm 0.0000 0.0000 0.3675
Bi1 Bi 0.0000 0.0000 0.2345
```

Calculated values
**Raw total energy**: -27.593 eV/f.u.
**Density of states at the Fermi level**: 14.90 states/eV per cell
**Total moment**: 3.44 μB per cell



Record 5
VASP calculation (PBE-GGA) on Li2TbY2Bi2 after structural relaxation.

Structure (CIF):
```
data_Li2TbY2Bi2
_space_group_name_H-M_alt 'R -3 m'
_space_group_IT_number 166
_space_group_name_Hall '-R 3 2"'
_cell_length_a 4.8846
_cell_length_b 4.8846
_cell_length_c 26.6272
_cell_angle_alpha 90.00
_cell_angle_beta 90.00
_cell_angle_gamma 120.00
loop_
_atom_site_label
_atom_site_type_symbol
_atom_site_fract_x
_atom_site_fract_y
_atom_site_fract_z
Li1 Li 0.0000 0.0000 0.0907
Tb1 Tb 0.0000 0.0000 0.5000
Y1 Y 0.0000 0.0000 0.3689
Bi1 Bi 0.0000 0.0000 0.2340
```

Calculated values
**Raw total energy**: -31.954 eV/f.u.
**Density of states at the Fermi level**: 14.55 states/eV per cell
**Total moment**: 3.87 μB per cell



Record 6
VASP calculation (PBE-GGA) on LiTc3Bi after structural relaxation.

Structure (CIF):
```
data_LiTc3Bi
_space_group_name_H-M_alt 'P m -3 m'
_space_group_IT_number 221
_space_group_name_Hall '-P 4 2 3'
_cell_length_a 4.332
_cell_length_b 4.332
_cell_length_c 4.332
_cell_angle_alpha 90.00
_cell_angle_beta 90.00
_cell_angle_gamma 90.00
loop_
_atom_site_label
_atom_site_type_symbol
_atom_site_fract_x
_atom_site_fract_y
_atom_site_fract_z
Li1 Li 0.000 0.000 0.000
Tc1 Tc 0.000 0.000 0.500
Bi1 Bi 0.500 0.500 0.500
```

Calculated values
**Density of states at the Fermi level**: 6.00 states/eV per cell
**Total moment**: 3.69 μB per cell
**ΔE to the lowest computed polymorph**: 0.000 eV per atom



Record 7
VASP calculation (PBE-GGA) on LiTcBi3 after structural relaxation.

Structure (CIF):
```
data_LiTcBi3
_space_group_name_H-M_alt 'P m -3 m'
_space_group_IT_number 221
_space_group_name_Hall '-P 4 2 3'
_cell_length_a 5.095
_cell_length_b 5.095
_cell_length_c 5.095
_cell_angle_alpha 90.00
_cell_angle_beta 90.00
_cell_angle_gamma 90.00
loop_
_atom_site_label
_atom_site_type_symbol
_atom_site_fract_x
_atom_site_fract_y
_atom_site_fract_z
Li1 Li 0.000 0.000 0.000
Tc1 Tc 0.500 0.500 0.500
Bi1 Bi 0.000 0.000 0.500
```

Calculated values
**Density of states at the Fermi level**: 4.18 states/eV per cell
**Total moment**: 3.12 μB per cell
**ΔE to the lowest computed polymorph**: 0.431 eV per atom



Record 8
VASP calculation (PBE-GGA) on LiTcBi2 after structural relaxation.

Structure (CIF):
```
data_LiTcBi2
_space_group_name_H-M_alt 'R -3 m'
_space_group_IT_number 166
_space_group_name_Hall '-R 3 2"'
_cell_length_a 3.2745
_cell_length_b 3.2745
_cell_length_c 30.4469
_cell_angle_alpha 90.00
_cell_angle_beta 90.00
_cell_angle_gamma 120.00
loop_
_atom_site_label
_atom_site_type_symbol
_atom_site_fract_x
_atom_site_fract_y
_atom_site_fract_z
Li1 Li 0.0000 0.0000 0.0000
Tc1 Tc 0.0000 0.0000 0.5000
Bi1 Bi 0.0000 0.0000 0.4101
```

Calculated values
**Density of states at the Fermi level**: 10.81 states/eV per cell
**Total moment**: 4.64 μB per cell
**ΔE to the lowest computed polymorph**: 0.422 eV per atom